Record 1
# AlO

Crystalline AlO at its relaxed geometry (GGA-PBE, Alexandria via LeMat-Bulk).

## Properties
As for the density of states at the Fermi level: 0.70 states/eV/f.u. As for the raw formation energy: -27.804 kcal/mol of atoms. The space group is Fm-3m (225). The total energy is -5.56 eV/atom. The calculation puts the total magnetization at 0.0 μB/f.u.

Geometry as POSCAR:
```
AlO
1.0
3.1694 0.0000 0.0000
1.5847 2.7448 0.0000
1.5847 0.9149 2.5878
Al O
1 1
direct
0.0000 0.0000 0.0000 Al
0.5000 0.5000 0.5000 O
```

***

Record 2
# AlO

Crystalline AlO at its relaxed geometry (GGA-PBE, Alexandria via LeMat-Bulk).

## Properties
As for the density of states at the Fermi level: 0.00 states/eV/f.u. As for the raw formation energy: -55.092 kcal/mol of atoms. The space group is Imm2 (44). The total energy is -6.74 eV/atom. The calculation puts the total magnetization at 0.0 μB/f.u.

Geometry as POSCAR:
```
AlO
1.0
-1.6335 -1.4511 2.0200
0.3689 -4.0531 -2.6133
8.5448 -0.5839 2.1118
Al O
4 4
direct
0.6561 0.4605 0.6559 Al
0.3439 0.9605 0.8441 Al
0.6561 0.9605 0.1559 Al
0.3439 0.4605 0.3441 Al
0.7606 0.6288 0.2607 O
0.2394 0.6288 0.7393 O
0.2394 0.1288 0.2393 O
0.7606 0.1288 0.7607 O
```

***

Record 3
# AlO

Crystalline AlO at its relaxed geometry (GGA-PBE, Alexandria via LeMat-Bulk).

## Properties
As for the raw formation energy: -55.672 kcal/mol of atoms. The space group is R-3m (166). The total energy is -6.76 eV/atom. The calculation puts the total magnetization at 0.0 μB/f.u.

Geometry as POSCAR:
```
AlO
1.0
-1.4684 1.3778 -2.0159
0.0564 -2.8486 0.0256
-14.3757 -0.1919 10.3402
O Al
6 6
direct
0.6667 0.3333 0.9442 O
0.0000 0.0000 0.3892 O
0.3333 0.6667 0.0558 O
0.3333 0.6667 0.2775 O
0.0000 0.0000 0.6108 O
0.6667 0.3333 0.7225 O
0.0000 0.0000 0.5000 Al
0.3333 0.6667 0.1667 Al
0.6667 0.3333 0.3333 Al
0.0000 0.0000 0.0000 Al
0.6667 0.3333 0.8333 Al
0.3333 0.6667 0.6667 Al
```

***

Record 4
# AlO8

Crystalline AlO8 at its relaxed geometry (GGA-PBE, Alexandria via LeMat-Bulk).

## Properties
As for the density of states at the Fermi level: 2.84 states/eV/f.u. As for the raw formation energy: 0.052 kcal/mol of atoms. The space group is C2/m (12). The total energy is -4.82 eV/atom. The calculation puts the total magnetization at 0.9 μB/f.u.

Geometry as POSCAR:
```
AlO8
1.0
-2.4369 0.0643 1.0250
0.9156 -5.4049 5.9272
-0.3972 6.8897 2.0347
Al O
1 8
direct
0.0000 0.0000 0.0000 Al
0.0125 0.6570 0.3180 O
0.4434 0.6765 0.4366 O
0.5566 0.3235 0.5634 O
0.6406 0.7977 0.9211 O
0.9875 0.3430 0.6820 O
0.5452 0.0652 0.8445 O
0.4548 0.9348 0.1555 O
0.3594 0.2023 0.0789 O
```